1.
Below is crystalline NaTc2Cl8 at its relaxed geometry, with properties calculated at the GGA-PBE level.

Results
As for the space group: No. 12. As for the uncorrected formation energy: -0.62 eV/atom. The volume comes out at 401.0 Å³ per cell.

Lattice parameters (Å, degrees): 6.5833 8.0757 8.0757 71.06 82.62 82.62
Closest atoms and distances in Å follow each position.
Atoms (fractional coordinates):
Cl (0.1895, 0.3639, 0.3639)  1 Tc 2.21
Cl (0.7748, 0.7016, 0.0707)  1 Tc 2.25
Tc (0.6641, 0.7998, 0.7998)  4 Cl 2.21-2.25
Cl (0.2252, 0.2984, 0.9293)  1 Tc 2.25
Cl (0.8105, 0.6361, 0.6361)  1 Tc 2.21
Tc (0.3359, 0.2002, 0.2002)  4 Cl 2.21-2.25
Na (0.0000, 0.0000, 0.0000)  6 Cl 2.85-2.94
Cl (0.2252, 0.9293, 0.2984)  1 Tc 2.25
Cl (0.3199, 0.8169, 0.8169)  1 Tc 2.24
Cl (0.6801, 0.1831, 0.1831)  1 Tc 2.24
Cl (0.7748, 0.0707, 0.7016)  1 Tc 2.25



2.
Below is crystalline NaTcCl3 at its relaxed geometry, with properties calculated at the GGA-PBE level.

Results
As for the space group: No. 2. As for the uncorrected formation energy: -0.97 eV/atom. The volume comes out at 213.2 Å³ per cell.

Lattice parameters (Å, degrees): 3.6433 8.7130 7.9356 57.95 90.76 93.12
Closest atoms and distances in Å follow each position.
Atoms (fractional coordinates):
Cl (0.1839, 0.8066, 0.6124)  1 Tc 2.60, 2 Na 2.86-2.88
Cl (0.2258, 0.3522, 0.4281)  1 Tc 2.35
Cl (0.7306, 0.4936, 0.9934)  1 Tc 2.35
Cl (0.7709, 0.0395, 0.8091)  1 Tc 2.60, 2 Na 2.86-2.88
Tc (0.7754, 0.5249, 0.6812)  1 Tc 2.23, 2 Cl 2.32-2.35
Na (0.2425, 0.7418, 0.0184)  7 Cl 2.86-2.97
Tc (0.1817, 0.3209, 0.7404)  1 Tc 2.23, 2 Cl 2.32-2.35
Cl (0.7505, 0.6927, 0.3369)  1 Tc 2.32
Cl (0.2058, 0.1530, 0.0848)  1 Tc 2.32
Na (0.7130, 0.1044, 0.4032)  7 Cl 2.86-2.97



3.
Below is crystalline Na2TcCl6 at its relaxed geometry, with properties calculated at the GGA-PBE level.

Results
As for the space group: No. 14. As for the uncorrected formation energy: -1.21 eV/atom. The volume comes out at 460.5 Å³ per cell.

Lattice parameters (Å, degrees): 6.6784 7.0414 9.8023 90.00 92.58 90.00
Closest atoms and distances in Å follow each position.
Atoms (fractional coordinates):
Cl (0.3341, 0.7813, 0.0681)  1 Tc 2.38
Cl (0.7143, 0.1829, 0.5540)  1 Tc 2.38
Cl (0.6324, 0.4563, 0.2271)  1 Tc 2.38
Cl (0.7857, 0.6829, 0.9460)  1 Tc 2.38
Cl (0.1324, 0.0437, 0.7271)  1 Tc 2.38
Na (0.9635, 0.4106, 0.7678)  6 Cl 2.85-3.07
Na (0.5365, 0.9106, 0.7322)  6 Cl 2.85-3.07
Tc (0.5000, 0.5000, 0.0000)  6 Cl 2.38
Cl (0.8341, 0.7187, 0.5681)  1 Tc 2.38
Cl (0.3676, 0.5437, 0.7729)  1 Tc 2.38
Na (0.4635, 0.0894, 0.2678)  6 Cl 2.85-3.07
Cl (0.8676, 0.9563, 0.2729)  1 Tc 2.38
Cl (0.1659, 0.2813, 0.4319)  1 Tc 2.38
Tc (0.0000, 0.0000, 0.5000)  6 Cl 2.38
Na (0.0365, 0.5894, 0.2322)  6 Cl 2.85-3.07
Cl (0.2857, 0.8171, 0.4460)  1 Tc 2.38
Cl (0.2143, 0.3171, 0.0540)  1 Tc 2.38
Cl (0.6659, 0.2187, 0.9319)  1 Tc 2.38